# Ca2LaBeIr

Crystalline Ca2LaBeIr at its relaxed geometry (PBE, Alexandria).

Calculated values
total magnetic moment: 0.000 μB per cell
energy relative to the elements: 0.575 eV per atom
density of states at the Fermi level: 0.725 states/eV/atom

The structure in POSCAR format:
```
Ca2LaBeIr
1.0
-5.0641 -0.3613 -0.1428
0.4113 -5.0736 -1.7488
-0.0172 -1.6564 4.8012
Ca Ir La Be
2 1 1 1
direct
0.5000 0.0000 0.0000 Ca
0.0000 0.0000 0.5000 Ca
0.5000 0.5000 0.5000 Ir
0.0000 0.5000 0.0000 La
0.0000 0.0000 0.0000 Be
```